The following is a DFT calculation (PBE) of a geometry-optimized MgMoBr2 structure.

Its total energy is -4.022 eV per atom. Its density is 5.1 g cm⁻³. Its raw formation energy is -79 meV per atom.

The space group is P4mm (No. 99) and the conventional cell measures 3.226, 3.226 and 8.824 Å, with angles of 90.00, 90.00 and 90.00 degrees. The inequivalent atoms are Mg at (0.000, 0.000, 0.000), Mo at (0.500, 0.500, 0.239), Br at (0.000, 0.000, 0.396) and Br at (0.500, 0.500, 0.820).